# Pu2U2Si, relaxed, DFT GGA-PBE
# Formation energy without anion corrections, eV per atom: -0.148
# Raw total energy, eV per atom: -11.48
# Calculated volume, Å³/atom: 18.33
data_Pu2U2Si
_chemical_formula_sum 'Pu4 U4 Si2'
_cell_length_a 6.5518
_cell_length_b 6.5518
_cell_length_c 7.4850
_cell_angle_alpha 62.99
_cell_angle_beta 62.99
_cell_angle_gamma 40.71
_space_group_name_H-M_alt 'P 1'
_space_group_IT_number 1
loop_
_space_group_symop_operation_xyz
'x,y,z'
loop_
_atom_site_label
_atom_site_fract_x
_atom_site_fract_y
_atom_site_fract_z
Pu1 0.9325 0.9325 0.7280
U1 0.6198 0.6198 0.0900
Pu2 0.0675 0.0675 0.2720
Si1 0.5979 0.5979 0.5084
Pu3 0.2535 0.2535 0.2884
U2 0.3802 0.3802 0.9100
Pu4 0.7465 0.7465 0.7116
U3 0.8717 0.8717 0.2399
Si2 0.4021 0.4021 0.4916
U4 0.1283 0.1283 0.7601

=====

# Pu2USi, relaxed, DFT GGA-PBE
# Formation energy without anion corrections, eV per atom: -0.146
# Raw total energy, eV per atom: -11.49
# Calculated volume, Å³/atom: 19.85
data_Pu2USi
_chemical_formula_sum 'Pu2 U1 Si1'
_cell_length_a 4.2345
_cell_length_b 4.3301
_cell_length_c 4.3301
_cell_angle_alpha 90.00
_cell_angle_beta 90.00
_cell_angle_gamma 90.00
_space_group_name_H-M_alt 'P 1'
_space_group_IT_number 1
loop_
_space_group_symop_operation_xyz
'x,y,z'
loop_
_atom_site_label
_atom_site_fract_x
_atom_site_fract_y
_atom_site_fract_z
U1 0.5000 0.0000 0.0000
Pu1 0.0000 0.0000 0.5000
Pu2 0.0000 0.5000 0.0000
Si1 0.5000 0.5000 0.5000

=====

# Pu2USi6, relaxed, DFT GGA-PBE
# Formation energy without anion corrections, eV per atom: -0.429
# Raw total energy, eV per atom: -8.48
# Calculated volume, Å³/atom: 18.24
data_Pu2USi6
_chemical_formula_sum 'Pu2 U1 Si6'
_cell_length_a 3.8794
_cell_length_b 6.9905
_cell_length_c 6.9905
_cell_angle_alpha 120.00
_cell_angle_beta 90.00
_cell_angle_gamma 90.00
_space_group_name_H-M_alt 'P 1'
_space_group_IT_number 1
loop_
_space_group_symop_operation_xyz
'x,y,z'
loop_
_atom_site_label
_atom_site_fract_x
_atom_site_fract_y
_atom_site_fract_z
Si1 0.5000 0.3318 0.3318
Si2 0.5000 0.0000 0.6682
Si3 0.5000 0.0000 0.3318
Pu1 0.0000 0.3333 0.6667
Pu2 0.0000 0.6667 0.3333
Si4 0.5000 0.6682 0.0000
Si5 0.5000 0.6682 0.6682
U1 0.0000 0.0000 0.0000
Si6 0.5000 0.3318 0.0000

=====

- Number 3 is which compound?
  Pu2USi6